1.
A relaxed structure of MgBiPO6, computed with GGA-PBE.

Lattice parameters (Å, degrees): 5.260 6.382 8.026 69.89 90.00 90.00
Last column: magnetic moment on the atom in μB.
Atoms (fractional coordinates):
P 0.250 0.371 0.828  -0.01
P 0.750 0.629 0.172  -0.01
Mg 0.250 0.870 0.915  0.00
Mg 0.750 0.130 0.085  0.00
Bi 0.750 0.786 0.543  0.00
Bi 0.250 0.214 0.457  0.00
O 0.970 0.030 0.327  0.53
O 0.518 0.786 0.110  0.18
O 0.250 0.559 0.903  0.16
O 0.750 0.441 0.097  0.16
O 0.530 0.030 0.327  0.53
O 0.250 0.476 0.620  0.15
O 0.030 0.970 0.673  0.53
O 0.470 0.970 0.673  0.53
O 0.018 0.214 0.890  0.18
O 0.750 0.524 0.380  0.15
O 0.982 0.786 0.110  0.18
O 0.482 0.214 0.890  0.18

Summary:
- Formation energy from raw total energies: -1.643 eV per atom

2.
A relaxed structure of TbTlPb2I8, computed with GGA-PBE.

Lattice parameters (Å, degrees): 7.831 7.339 9.702 89.97 89.99 89.11
Atoms (fractional coordinates):
Tb 0.000 0.000 0.000
Tl 0.000 0.000 0.500
Pb 0.500 0.500 0.750
Pb 0.500 0.500 0.250
I 0.153 0.754 0.222
I 0.675 0.764 0.000
I 0.847 0.245 0.222
I 0.847 0.246 0.778
I 0.325 0.236 0.000
I 0.153 0.755 0.778
I 0.638 0.735 0.500
I 0.362 0.265 0.500

Summary:
- Formation energy from raw total energies: -0.861 eV per atom

3.
A relaxed structure of Ce2Sb3Rh4, computed with GGA-PBE.

Lattice parameters (Å, degrees): 4.386 4.386 9.723 90.00 90.00 90.00
Last column: magnetic moment on the atom in μB.
Atoms (fractional coordinates):
Ce 0.000 0.000 0.987  -0.06
Ce 0.500 0.500 0.486  0.77
Sb 0.000 0.000 0.631  0.00
Sb 0.000 0.000 0.342  0.00
Sb 0.500 0.500 0.986  0.00
Rh 0.000 0.500 0.180  0.01
Rh 0.500 0.000 0.793  0.01
Rh 0.500 0.000 0.180  0.01
Rh 0.000 0.500 0.793  0.01

Summary:
- Formation energy from raw total energies: -0.603 eV per atom

4.
A relaxed structure of Al2AsRu, computed with GGA-PBE.

Lattice parameters (Å, degrees): 4.811 4.811 4.811 132.25 132.25 69.83
Atoms (fractional coordinates):
Ru 0.750 0.250 0.500
As 0.250 0.750 0.500
Al 0.000 0.000 0.000
Al 0.500 0.500 0.000

Summary:
- Formation energy from the elements: -0.1190 eV per atom

5.
A relaxed structure of Pr4DyHo3Te8, computed with GGA-PBE.

Lattice parameters (Å, degrees): 8.742 9.012 8.743 119.02 120.00 90.00
Atoms (fractional coordinates):
Pr 0.500 0.000 0.000
Pr 0.500 0.000 0.500
Pr 0.000 0.000 0.000
Pr 0.000 0.000 0.500
Dy 0.000 0.500 0.000
Ho 0.500 0.500 0.000
Ho 0.500 0.500 0.500
Ho 0.000 0.500 0.500
Te 0.245 0.734 0.989
Te 0.245 0.734 0.490
Te 0.256 0.267 0.511
Te 0.744 0.734 0.989
Te 0.256 0.266 0.011
Te 0.744 0.733 0.489
Te 0.755 0.266 0.510
Te 0.755 0.266 0.011

Summary:
- Formation energy from raw total energies: -1.351 eV per atom

6.
A relaxed structure of Sm4Y3Th, computed with GGA-PBE.

Lattice parameters (Å, degrees): 6.317 7.325 11.572 90.00 90.00 90.00
Atoms (fractional coordinates):
Sm 0.144 0.872 0.000
Sm 0.650 0.132 0.000
Sm 0.988 0.127 0.249
Sm 0.488 0.873 0.251
Sm 0.150 0.868 0.500
Sm 0.644 0.128 0.500
Sm 0.488 0.873 0.749
Sm 0.988 0.127 0.751
Y 0.647 0.621 0.000
Y 0.976 0.620 0.249
Y 0.476 0.380 0.251
Y 0.147 0.379 0.500
Y 0.476 0.380 0.749
Y 0.976 0.620 0.751
Th 0.146 0.375 0.000
Th 0.646 0.625 0.500

Summary:
- Formation energy from the elements: 0.0385 eV per atom